First-principles (GGA-PBE) data for crystalline Cs2Rb8Na3 at its relaxed geometry, as listed in Alexandria.

Output
**SG**: C2/m
**ΔE to the lowest computed polymorph**: 0.56 eV/f.u.
**E_form**: 72 meV per atom
**V**: 85.37 Å³ per atom

Cell and atoms, written as POSCAR:
```
Cs2Rb8Na3
1.0
10.4369 -5.5561 0.0000
10.4369 5.5561 0.0000
-2.2294 0.0000 9.5697
Cs Rb Na
2 8 3
direct
0.2062 0.2062 0.2580
0.7938 0.7938 0.7420
0.1749 0.1749 0.7782
0.2090 0.6020 0.5939
0.3980 0.7910 0.4061
0.4006 0.4006 0.0772
0.5994 0.5994 0.9228
0.6020 0.2090 0.5939
0.7910 0.3980 0.4061
0.8251 0.8251 0.2218
0.0000 0.0000 0.5000
0.1571 0.8429 0.0000
0.8429 0.1571 0.0000
```



First-principles (GGA-PBE) data for crystalline Y2PtO at its relaxed geometry, as listed in Alexandria.

Output
**SG**: I-42d
**E_form (uncorrected)**: -182.4 kJ/mol of atoms
**V**: 21.45 Å³ per atom

Cell and atoms, written as POSCAR:
```
Y2PtO
1.0
-3.2486 3.2486 4.0657
3.2486 -3.2486 4.0657
3.2486 3.2486 -4.0657
Y Pt O
4 2 2
direct
0.0569 0.6250 0.9319
0.3750 0.3069 0.4319
0.6931 0.1250 0.0681
0.8750 0.9431 0.5681
0.2500 0.7500 0.5000
0.5000 0.5000 0.0000
0.0000 0.0000 0.0000
0.7500 0.2500 0.5000
```